Entry 1:
Compound: Ti3Ge
Source: the Alexandria database
Functional: GGA-PBE
Structure: optimized geometry

Computed properties:
The value obtained for the spin magnetization is 0.0 μB/cell. The value obtained for the volume is 16.4 Å³ per atom. For the energy of formation, the calculation gives -0.29 eV/atom. As for the symmetry: No. 44. As for the mass density: 5.5 g/cm³.

Unit cell a=5.3812 b=5.3812 c=5.3812 alpha=148.17 beta=63.99 gamma=126.08
Positions (direct):
Ti1 0.0000 0.0000 0.0000
Ti2 0.4080 0.6471 0.7609
Ti3 0.8862 0.6471 0.2391
Ge1 0.4767 0.9767 0.5000



Entry 2:
Compound: CaMg2Ni
Source: the Alexandria database
Functional: GGA-PBE
Structure: optimized geometry

Computed properties:
The value obtained for the spin magnetization is 0.0 μB/cell. The value obtained for the volume is 20.6 Å³ per atom. For the energy of formation, the calculation gives 0.09 eV/atom. As for the symmetry: No. 225. As for the mass density: 3.0 g/cm³.

Unit cell a=4.8839 b=4.8839 c=4.8839 alpha=60.00 beta=60.00 gamma=60.00
Positions (direct):
Ca1 0.0000 0.0000 0.0000
Mg1 0.2500 0.2500 0.2500
Mg2 0.7500 0.7500 0.7500
Ni1 0.5000 0.5000 0.5000



Entry 3:
Compound: Nd4Sm3Y
Source: the Alexandria database
Functional: GGA-PBE
Structure: optimized geometry

Computed properties:
Its energy above the most stable polymorph in this dataset is 0.1202 eV per atom. The value obtained for the spin magnetization is 0.0 μB/cell. The value obtained for the volume is 34.8 Å³ per atom. For the energy of formation, the calculation gives 0.15 eV/atom. As for the symmetry: No. 12. As for the mass density: 6.7 g/cm³.

Unit cell a=12.0175 b=12.0175 c=6.9241 alpha=106.64 beta=106.64 gamma=16.90
Positions (direct):
Nd1 0.1240 0.1240 0.3654
Nd2 0.2586 0.2586 0.7612
Nd3 0.7414 0.7414 0.2388
Nd4 0.8760 0.8760 0.6346
Sm1 0.0000 0.0000 0.5000
Sm2 0.1235 0.1235 0.8825
Sm3 0.8765 0.8765 0.1175
Y1 0.5000 0.5000 0.0000



Entry 4:
Compound: Ce12InSn3
Source: the Alexandria database
Functional: GGA-PBE
Structure: optimized geometry

Computed properties:
The value obtained for the spin magnetization is 11.0 μB/cell. The value obtained for the volume is 27.6 Å³ per atom. For the energy of formation, the calculation gives -0.35 eV/atom. As for the symmetry: No. 123. As for the mass density: 8.1 g/cm³.

Unit cell a=4.8010 b=4.8010 c=19.1787 alpha=90.00 beta=90.00 gamma=90.00
Positions (direct):
Ce1 0.0000 0.0000 0.0000
Ce2 0.0000 0.0000 0.2494
Ce3 0.0000 0.0000 0.5000
Ce4 0.0000 0.0000 0.7506
Ce5 0.0000 0.5000 0.1263
Ce6 0.0000 0.5000 0.3752
Ce7 0.0000 0.5000 0.6248
Ce8 0.0000 0.5000 0.8737
Ce9 0.5000 0.0000 0.1263
Ce10 0.5000 0.0000 0.3752
Ce11 0.5000 0.0000 0.6248
Ce12 0.5000 0.0000 0.8737
In1 0.5000 0.5000 0.0000
Sn1 0.5000 0.5000 0.2506
Sn2 0.5000 0.5000 0.5000
Sn3 0.5000 0.5000 0.7494



Question: Among the records above, which one has the highest spin magnetization?
Answer: Ce12InSn3